Entry 1:
CuIr3S after structural relaxation, computed with GGA-PBE.

Properties
Its energy above the lowest structure with this stoichiometry is 544 kJ/mol of formula units. The calculation puts the total DFT energy (no corrections) at -4.96 eV/atom. Its density of states at the Fermi level is 9.575 states/eV/f.u. Its formation energy (no corrections) is 2005 meV/atom.

```
CuIr3S
1.0
4.500 0.000 0.000
0.000 4.500 0.000
0.000 0.000 4.500
Ir S Cu
3 1 1
direct
0.000 0.000 0.500 Ir
0.500 0.000 0.000 Ir
0.000 0.500 0.000 Ir
0.500 0.500 0.500 S
0.000 0.000 0.000 Cu
```

Entry 2:
PrNd2Tm5 after structural relaxation, computed with GGA-PBE.

Properties
The calculation puts the total DFT energy (no corrections) at -4.56 eV/atom. For the formation energy, the calculation gives 0.5 kcal/mol of atoms. Its density of states at the Fermi level is 10.343 states/eV/f.u.

```
PrNd2Tm5
1.0
-2.655 -5.716 3.408
5.600 -3.904 -2.179
1.021 6.097 3.487
Tm Nd Pr
5 2 1
direct
0.722 0.722 0.944 Tm
0.722 0.222 0.944 Tm
0.222 0.722 0.944 Tm
0.222 0.222 0.944 Tm
0.722 0.722 0.444 Tm
0.722 0.222 0.444 Nd
0.222 0.722 0.444 Nd
0.222 0.222 0.445 Pr
```

Entry 3:
MnCdCoC2 after structural relaxation, computed with GGA-PBE.

Properties
The calculation puts the total DFT energy (no corrections) at -5.68 eV/atom. For the formation energy, the calculation gives 33.3 kcal/mol of atoms. Its density of states at the Fermi level is 3.620 states/eV/f.u.

```
MnCdCoC2
1.0
-2.290 -1.129 2.709
1.774 -4.567 -0.404
2.609 0.790 2.535
Co Cd C Mn
1 1 2 1
direct
0.000 0.000 0.000 Co
0.500 0.500 0.500 Cd
0.500 0.000 0.000 C
0.000 0.000 0.500 C
0.000 0.500 0.000 Mn
```

Entry 4:
Tl13As2 after structural relaxation, computed with GGA-PBE.

Properties
Its energy above the lowest structure with this stoichiometry is 0 kJ/mol of formula units. The calculation puts the total DFT energy (no corrections) at -2.64 eV/atom. For the formation energy, the calculation gives 0.6 kcal/mol of atoms. Its density of states at the Fermi level is 6.480 states/eV/f.u.

```
Tl13As2
1.0
-1.636 5.661 2.946
-4.955 1.056 -6.509
-3.945 -4.282 7.273
Tl As
13 2
direct
0.035 0.525 0.700 Tl
0.764 0.002 0.394 Tl
0.241 0.806 0.189 Tl
0.000 0.000 0.000 Tl
0.236 0.998 0.606 Tl
0.472 0.621 0.397 Tl
0.268 0.360 0.954 Tl
0.532 0.189 0.166 Tl
0.759 0.194 0.811 Tl
0.965 0.475 0.300 Tl
0.468 0.811 0.834 Tl
0.732 0.640 0.046 Tl
0.528 0.379 0.603 Tl
0.830 0.803 0.617 As
0.170 0.197 0.383 As
```

Entry 5:
Pm4Te3O2 after structural relaxation, computed with GGA-PBE.

Properties
Its energy above the lowest structure with this stoichiometry is 40 kJ/mol of formula units. The calculation puts the total DFT energy (no corrections) at -6.38 eV/atom. Its density of states at the Fermi level is 3.775 states/eV/f.u. Its formation energy (no corrections) is -2117 meV/atom.

```
Pm4Te3O2
1.0
6.719 -0.016 -0.012
0.350 8.515 -0.271
0.350 2.487 8.148
Pm Te O
8 6 4
direct
0.917 0.745 0.603 Pm
0.583 0.397 0.255 Pm
0.460 0.930 0.321 Pm
0.417 0.603 0.745 Pm
0.540 0.070 0.679 Pm
0.960 0.321 0.930 Pm
0.083 0.255 0.397 Pm
0.040 0.679 0.070 Pm
0.750 0.407 0.593 Te
0.046 0.016 0.762 Te
0.954 0.984 0.238 Te
0.546 0.762 0.016 Te
0.454 0.238 0.984 Te
0.250 0.593 0.407 Te
0.416 0.165 0.415 O
0.916 0.415 0.165 O
0.584 0.835 0.585 O
0.084 0.585 0.835 O
```

Entry 6:
Be3AgAu10 after structural relaxation, computed with GGA-PBE.

Properties
The calculation puts the total DFT energy (no corrections) at -3.42 eV/atom. For the formation energy, the calculation gives -1.8 kcal/mol of atoms. Its density of states at the Fermi level is 3.988 states/eV/f.u.

```
Be3AgAu10
1.0
-2.491 7.841 2.867
-8.178 1.242 2.736
-1.620 1.228 8.472
Be Au Ag
6 20 2
direct
0.273 0.727 0.273 Be
0.727 0.273 0.273 Be
0.273 0.273 0.727 Be
0.273 0.727 0.727 Be
0.727 0.273 0.727 Be
0.727 0.727 0.273 Be
0.383 0.852 0.383 Au
0.383 0.383 0.852 Au
0.383 0.383 0.383 Au
0.617 0.617 0.617 Au
0.617 0.148 0.617 Au
0.663 0.000 0.000 Au
0.663 0.000 0.337 Au
0.663 0.337 0.000 Au
0.617 0.617 0.148 Au
0.000 0.663 0.337 Au
0.000 0.000 0.663 Au
0.337 0.000 0.663 Au
0.000 0.337 0.000 Au
0.000 0.337 0.663 Au
0.148 0.617 0.617 Au
0.337 0.663 0.000 Au
0.000 0.663 0.000 Au
0.852 0.383 0.383 Au
0.000 0.000 0.337 Au
0.337 0.000 0.000 Au
0.750 0.750 0.750 Ag
0.250 0.250 0.250 Ag
```

Entry 7:
Sr2ICl3 after structural relaxation, computed with GGA-PBE.

Properties
The calculation puts the total DFT energy (no corrections) at -4.00 eV/atom. Its density of states at the Fermi level is 0.000 states/eV/f.u. Its formation energy (no corrections) is -2260 meV/atom.

```
Sr2ICl3
1.0
-3.332 -2.519 1.946
4.231 -1.402 5.429
-2.769 5.820 2.793
Cl Sr I
3 2 1
direct
0.000 0.687 0.698 Cl
0.500 0.200 0.800 Cl
0.000 0.302 0.313 Cl
0.000 0.026 0.974 Sr
0.500 0.483 0.517 Sr
0.500 0.802 0.198 I
```

Entry 8:
TiCoAs2Br after structural relaxation, computed with GGA-PBE.

Properties
Its energy above the lowest structure with this stoichiometry is 74 kJ/mol of formula units. The calculation puts the total DFT energy (no corrections) at -4.64 eV/atom. Its density of states at the Fermi level is 5.799 states/eV/f.u. Its formation energy (no corrections) is 550 meV/atom.

```
TiCoAs2Br
1.0
4.887 0.000 0.000
0.000 4.887 0.000
0.000 0.000 5.116
Br As Co Ti
1 2 1 1
direct
0.000 0.000 0.500 Br
0.500 0.000 0.000 As
0.000 0.500 0.000 As
0.500 0.500 0.500 Co
0.000 0.000 0.000 Ti
```

Entry 9:
CsVRh2 after structural relaxation, computed with GGA-PBE.

Properties
Its energy above the lowest structure with this stoichiometry is 0 kJ/mol of formula units. The calculation puts the total DFT energy (no corrections) at -5.41 eV/atom. For the formation energy, the calculation gives 17.4 kcal/mol of atoms. Its density of states at the Fermi level is 1.887 states/eV/f.u.

```
CsVRh2
1.0
-6.564 3.119 0.341
-2.832 -5.551 -3.754
-5.406 -3.062 1.557
Cs V Rh
2 2 4
direct
0.750 0.250 0.500 Cs
0.000 0.000 0.000 Cs
0.500 0.500 0.000 V
0.250 0.750 0.500 V
0.522 0.625 0.250 Rh
0.228 0.125 0.250 Rh
0.875 0.478 0.750 Rh
0.375 0.772 0.750 Rh
```

Entry 10:
Li2Ga5Pd3 after structural relaxation, computed with GGA-PBE.

Properties
Its energy above the lowest structure with this stoichiometry is 0 kJ/mol of formula units. The calculation puts the total DFT energy (no corrections) at -3.94 eV/atom. For the formation energy, the calculation gives -11.3 kcal/mol of atoms. Its density of states at the Fermi level is 3.158 states/eV/f.u.

```
Li2Ga5Pd3
1.0
5.545 0.082 -0.477
-0.892 7.425 -1.930
0.052 -0.252 7.719
Pd Li Ga
6 4 10
direct
0.125 0.770 0.494 Pd
0.875 0.230 0.506 Pd
0.250 0.039 0.961 Pd
0.625 0.494 0.770 Pd
0.750 0.961 0.039 Pd
0.375 0.506 0.230 Pd
0.115 0.380 0.864 Li
0.615 0.864 0.380 Li
0.885 0.620 0.136 Li
0.385 0.136 0.620 Li
0.595 0.289 0.972 Ga
0.750 0.541 0.459 Ga
0.405 0.711 0.028 Ga
0.905 0.028 0.711 Ga
0.998 0.284 0.182 Ga
0.502 0.818 0.716 Ga
0.250 0.459 0.541 Ga
0.498 0.182 0.284 Ga
0.095 0.972 0.289 Ga
0.002 0.716 0.818 Ga
```

Entry 11:
Ba8Ag3Pt2 after structural relaxation, computed with GGA-PBE.

Properties
The calculation puts the total DFT energy (no corrections) at -3.14 eV/atom. For the formation energy, the calculation gives -8.6 kcal/mol of atoms. Its density of states at the Fermi level is 9.005 states/eV/f.u.

```
Ba8Ag3Pt2
1.0
-2.167 -5.281 -5.660
2.470 -8.655 3.279
-6.517 -5.759 4.017
Ba Ag Pt
8 3 2
direct
0.770 0.619 0.106 Ba
0.230 0.368 0.368 Ba
0.230 0.894 0.381 Ba
0.230 0.381 0.894 Ba
0.770 0.106 0.619 Ba
0.761 0.129 0.129 Ba
0.239 0.871 0.871 Ba
0.770 0.632 0.632 Ba
0.000 0.251 0.749 Ag
0.000 0.749 0.251 Ag
0.500 0.000 0.000 Ag
0.993 0.252 0.252 Pt
0.007 0.748 0.748 Pt
```

Entry 12:
Tb7Pm4Tm after structural relaxation, computed with GGA-PBE.

Properties
Its energy above the lowest structure with this stoichiometry is 0 kJ/mol of formula units. The calculation puts the total DFT energy (no corrections) at -4.57 eV/atom. For the formation energy, the calculation gives 2.0 kcal/mol of atoms. Its density of states at the Fermi level is 18.482 states/eV/f.u.

```
Tb7Pm4Tm
1.0
-5.585 1.579 -3.628
-8.627 -1.022 1.550
-0.815 7.131 5.619
Pm Tb Tm
4 7 1
direct
0.775 0.842 0.693 Pm
0.551 0.639 0.282 Pm
0.225 0.158 0.307 Pm
0.449 0.361 0.718 Pm
0.985 0.317 0.640 Tb
0.264 0.489 0.051 Tb
0.295 0.811 0.616 Tb
0.736 0.511 0.949 Tb
0.500 0.000 0.000 Tb
0.705 0.189 0.384 Tb
0.015 0.683 0.360 Tb
0.000 0.000 0.000 Tm
```

Entry 13:
LaThPb after structural relaxation, computed with GGA-PBE.

Properties
Its energy above the lowest structure with this stoichiometry is 92 kJ/mol of formula units. The calculation puts the total DFT energy (no corrections) at -5.41 eV/atom. For the formation energy, the calculation gives -1.4 kcal/mol of atoms. Its density of states at the Fermi level is 5.505 states/eV/f.u.

```
LaThPb
1.0
3.636 0.000 0.000
0.000 5.575 0.000
0.000 -2.787 4.828
Pb Th La
1 1 1
direct
0.310 0.333 0.667 Pb
0.069 0.000 0.000 Th
0.621 0.667 0.333 La
```

Entry 14:
Dy2PuHfP4 after structural relaxation, computed with GGA-PBE.

Properties
The calculation puts the total DFT energy (no corrections) at -8.31 eV/atom. For the formation energy, the calculation gives -32.8 kcal/mol of atoms. Its density of states at the Fermi level is 10.627 states/eV/f.u.

```
Dy2PuHfP4
1.0
3.915 0.000 0.000
0.000 6.764 0.126
0.000 -2.356 6.357
P Hf Pu Dy
4 1 1 2
direct
0.000 0.263 0.765 P
0.500 0.255 0.240 P
0.000 0.737 0.235 P
0.500 0.745 0.760 P
0.500 0.500 0.000 Hf
0.000 0.000 0.000 Pu
0.500 0.000 0.500 Dy
0.000 0.500 0.500 Dy
```

Entry 15:
InSb2Pb8 after structural relaxation, computed with GGA-PBE.

Properties
The calculation puts the total DFT energy (no corrections) at -3.58 eV/atom. Its density of states at the Fermi level is 5.260 states/eV/f.u. Its formation energy (no corrections) is 111 meV/atom.

```
InSb2Pb8
1.0
-4.049 4.322 -0.388
-7.459 -4.277 0.558
-4.188 -0.590 7.507
Sb In Pb
2 1 8
direct
0.490 0.141 0.141 Sb
0.510 0.859 0.859 Sb
0.000 0.000 0.000 In
0.763 0.634 0.209 Pb
0.237 0.366 0.791 Pb
0.237 0.791 0.366 Pb
0.925 0.231 0.231 Pb
0.763 0.209 0.634 Pb
0.075 0.769 0.769 Pb
0.668 0.636 0.636 Pb
0.332 0.364 0.364 Pb
```

Entry 16:
W3CS after structural relaxation, computed with GGA-PBE.

Properties
Its energy above the lowest structure with this stoichiometry is 0 kJ/mol of formula units. The calculation puts the total DFT energy (no corrections) at -9.66 eV/atom. Its density of states at the Fermi level is 3.619 states/eV/f.u. Its formation energy (no corrections) is 783 meV/atom.

```
W3CS
1.0
4.176 0.000 0.000
0.000 4.176 0.000
0.000 0.000 4.176
W S C
3 1 1
direct
0.000 0.500 0.000 W
0.000 0.000 0.500 W
0.500 0.000 0.000 W
0.500 0.500 0.500 S
0.000 0.000 0.000 C
```

Entry 17:
HfNbAs after structural relaxation, computed with GGA-PBE.

Properties
The calculation puts the total DFT energy (no corrections) at -8.80 eV/atom. For the formation energy, the calculation gives -13.2 kcal/mol of atoms. Its density of states at the Fermi level is 1.940 states/eV/f.u.

```
HfNbAs
1.0
-0.708 3.823 -3.969
0.150 -4.512 -4.373
-6.204 -0.662 0.470
As Nb Hf
4 4 4
direct
0.000 0.500 0.837 As
0.500 0.000 0.337 As
0.000 0.000 0.337 As
0.500 0.500 0.837 As
0.250 0.667 0.504 Nb
0.250 0.833 0.004 Nb
0.750 0.167 0.004 Nb
0.750 0.333 0.504 Nb
0.750 0.656 0.184 Hf
0.750 0.844 0.684 Hf
0.250 0.344 0.184 Hf
0.250 0.156 0.684 Hf
```

Entry 18:
TiSbPd14 after structural relaxation, computed with GGA-PBE.

Properties
The calculation puts the total DFT energy (no corrections) at -5.56 eV/atom. Its density of states at the Fermi level is 20.275 states/eV/f.u. Its formation energy (no corrections) is -270 meV/atom.

```
TiSbPd14
1.0
5.677 -0.012 0.000
0.012 5.677 0.000
0.000 0.000 7.757
Pd Ti Sb
14 1 1
direct
0.629 0.629 0.254 Pd
0.875 0.875 0.000 Pd
0.375 0.875 0.500 Pd
0.121 0.121 0.746 Pd
0.121 0.629 0.254 Pd
0.375 0.375 0.000 Pd
0.629 0.121 0.254 Pd
0.629 0.121 0.746 Pd
0.629 0.629 0.746 Pd
0.121 0.121 0.254 Pd
0.375 0.875 0.000 Pd
0.121 0.629 0.746 Pd
0.875 0.375 0.000 Pd
0.875 0.375 0.500 Pd
0.875 0.875 0.500 Ti
0.375 0.375 0.500 Sb
```

Entry 19:
Cr2InPt after structural relaxation, computed with GGA-PBE.

Properties
The calculation puts the total DFT energy (no corrections) at -6.86 eV/atom. For the formation energy, the calculation gives 3.5 kcal/mol of atoms. Its density of states at the Fermi level is 3.519 states/eV/f.u.

```
Cr2InPt
1.0
-3.110 0.211 -0.970
0.114 -3.093 -1.039
-1.903 -1.974 5.673
Cr In Pt
2 1 1
direct
0.000 0.000 0.976 Cr
0.000 0.000 0.524 Cr
0.500 0.500 0.250 In
0.500 0.500 0.750 Pt
```

Entry 20:
Ir6RuW5 after structural relaxation, computed with GGA-PBE.

Properties
The calculation puts the total DFT energy (no corrections) at -10.86 eV/atom. For the formation energy, the calculation gives -6.0 kcal/mol of atoms. Its density of states at the Fermi level is 6.689 states/eV/f.u.

```
Ir6RuW5
1.0
3.770 -0.003 -1.057
-2.655 6.449 -2.235
0.018 0.190 7.320
W Ru Ir
5 1 6
direct
0.000 0.333 0.667 W
0.500 0.165 0.835 W
0.500 0.835 0.165 W
0.000 0.667 0.333 W
0.500 0.500 0.500 W
0.000 0.000 0.000 Ru
0.750 0.917 0.584 Ir
0.250 0.416 0.083 Ir
0.250 0.750 0.750 Ir
0.750 0.250 0.250 Ir
0.250 0.083 0.416 Ir
0.750 0.584 0.917 Ir
```